Below is a relaxed structure of Pr2Sm3Tl2, with properties calculated at the GGA-PBE level.

Lattice parameters (Å, degrees): 5.572 5.567 8.895 108.28 90.00 120.03
Atoms (fractional coordinates):
Sm: 0.346 0.692 0.538
Sm: 0.500 0.000 0.000
Tl: 0.217 0.434 0.151
Sm: 0.654 0.308 0.462
Pr: 0.078 0.155 0.733
Pr: 0.922 0.845 0.267
Tl: 0.783 0.566 0.849

Computed properties:
calculated formation energy = -0.205 eV per atom
E_tot = -4.27 eV per atom
total moment = 0.00 μB per cell
crystal system = monoclinic
energy above the lowest structure with this stoichiometry = 0.000 eV/atom
SG = C2/m (12)


Below is a relaxed structure of TaPSe2, with properties calculated at the GGA-PBE level.

Lattice parameters (Å, degrees): 6.302 6.302 6.765 62.24 62.24 90.00
Atoms (fractional coordinates):
P: 0.250 0.750 0.500
Ta: 0.000 0.000 0.000
Ta: 0.750 0.250 0.500
Se: 0.375 0.353 0.750
Se: 0.647 0.125 0.250
P: 0.500 0.500 0.000
Se: 0.875 0.897 0.750
Se: 0.103 0.625 0.250

Computed properties:
E_tot = -5.57 eV per atom
total moment = 0.00 μB per cell
ΔE_f (raw) = 1.941 eV per formula unit
crystal system = tetragonal
SG = I-42d (122)


Below is a relaxed structure of Pm2Sn3Bi, with properties calculated at the GGA-PBE level.

Lattice parameters (Å, degrees): 3.332 6.008 9.837 107.78 99.75 90.00
Atoms (fractional coordinates):
Bi: 0.000 0.000 0.000
Pm: 0.345 0.345 0.690
Sn: 0.000 0.500 0.000
Sn: 0.831 0.831 0.661
Sn: 0.169 0.169 0.339
Pm: 0.655 0.655 0.310

Computed properties:
calculated formation energy = -0.282 eV per atom
E_tot = -4.51 eV per atom
total moment = 0.00 μB per cell
crystal system = orthorhombic
energy above the lowest structure with this stoichiometry = 0.148 eV/atom
SG = Immm (71)


Below is a relaxed structure of Ni2PdS6, with properties calculated at the GGA-PBE level.

Lattice parameters (Å, degrees): 6.443 7.369 7.369 85.50 72.42 72.42
Atoms (fractional coordinates):
S: 0.535 0.360 0.470
Pd: 0.750 0.078 0.922
S: 0.045 0.099 0.623
Ni: 0.071 0.795 0.630
S: 0.035 0.470 0.360
S: 0.545 0.623 0.099
S: 0.965 0.530 0.640
Ni: 0.429 0.370 0.205
S: 0.955 0.901 0.377
S: 0.471 0.056 0.218
S: 0.971 0.218 0.056
S: 0.029 0.782 0.944
S: 0.455 0.377 0.901
S: 0.465 0.640 0.530
Ni: 0.929 0.205 0.370
Pd: 0.250 0.922 0.078
Ni: 0.571 0.630 0.795
S: 0.529 0.944 0.782

Computed properties:
E_tot = -4.77 eV per atom
total moment = 0.00 μB per cell
ΔE_f (raw) = -1.374 eV per formula unit
crystal system = monoclinic
SG = C2/c (15)


Below is a relaxed structure of MgCo3Hg, with properties calculated at the GGA-PBE level.

Lattice parameters (Å, degrees): 4.397 4.397 4.397 90.00 90.00 90.00
Atoms (fractional coordinates):
Co: 0.500 0.000 0.000
Mg: 0.000 0.000 0.000
Hg: 0.500 0.500 0.500
Co: 0.000 0.500 0.000
Co: 0.000 0.000 0.500

Computed properties:
calculated formation energy = 1.347 eV per atom
E_tot = -3.30 eV per atom
total moment = 3.94 μB per cell
crystal system = cubic
energy above the lowest structure with this stoichiometry = 0.000 eV/atom
SG = Pm-3m (221)


Below is a relaxed structure of TbSmDy2Tm5, with properties calculated at the GGA-PBE level.

Lattice parameters (Å, degrees): 8.677 8.677 9.681 116.62 116.62 90.00
Atoms (fractional coordinates):
Tm: 0.841 0.930 0.270
Dy: 0.884 0.616 0.000
Tm: 0.570 0.659 0.730
Tb: 0.750 0.750 0.500
Tm: 0.070 0.570 0.730
Dy: 0.384 0.884 0.000
Dy: 0.616 0.116 0.000
Tm: 0.430 0.341 0.270
Sm: 0.250 0.750 0.500
Tm: 0.341 0.841 0.270
Tm: 0.159 0.070 0.730
Dy: 0.116 0.384 0.000
Tm: 0.500 0.500 0.000
Sm: 0.750 0.250 0.500
Tm: 0.659 0.159 0.730
Tm: 0.930 0.430 0.270
Tb: 0.250 0.250 0.500
Tm: 0.000 0.000 0.000

Computed properties:
calculated formation energy = 0.290 eV per atom
E_tot = -4.26 eV per atom
total moment = 0.00 μB per cell
crystal system = tetragonal
SG = I4/mcm (140)


Below is a relaxed structure of Ca3Tl3Rh2, with properties calculated at the GGA-PBE level.

Lattice parameters (Å, degrees): 5.993 8.225 16.521 90.00 90.00 90.00
Atoms (fractional coordinates):
Ca: 0.598 0.040 0.890
Ca: 0.860 0.827 0.250
Tl: 0.091 0.179 0.962
Rh: 0.112 0.881 0.887
Tl: 0.091 0.179 0.538
Tl: 0.139 0.169 0.250
Ca: 0.360 0.673 0.750
Rh: 0.888 0.119 0.387
Tl: 0.591 0.321 0.462
Tl: 0.909 0.821 0.462
Tl: 0.591 0.321 0.038
Ca: 0.402 0.960 0.390
Ca: 0.902 0.540 0.890
Ca: 0.098 0.460 0.390
Rh: 0.888 0.119 0.113
Ca: 0.402 0.960 0.110
Ca: 0.140 0.173 0.750
Rh: 0.612 0.619 0.387
Ca: 0.640 0.327 0.250
Tl: 0.861 0.831 0.750
Ca: 0.098 0.460 0.110
Tl: 0.409 0.679 0.962
Ca: 0.598 0.040 0.610
Tl: 0.409 0.679 0.538
Rh: 0.612 0.619 0.113
Tl: 0.361 0.669 0.250
Rh: 0.388 0.381 0.613
Ca: 0.902 0.540 0.610
Tl: 0.909 0.821 0.038
Rh: 0.388 0.381 0.887
Rh: 0.112 0.881 0.613
Tl: 0.639 0.331 0.750

Computed properties:
calculated formation energy = -0.363 eV per atom
E_tot = -3.84 eV per atom
total moment = 0.00 μB per cell
crystal system = orthorhombic
SG = Pnma (62)


Below is a relaxed structure of Li5Hg2Ge2, with properties calculated at the GGA-PBE level.

Lattice parameters (Å, degrees): 7.394 7.183 7.356 90.00 59.83 90.00
Atoms (fractional coordinates):
Li: 0.068 0.686 0.248
Li: 0.568 0.814 0.248
Li: 0.816 0.814 0.752
Hg: 0.722 0.500 0.556
Li: 0.184 0.186 0.248
Ge: 0.387 0.882 0.000
Hg: 0.778 0.000 0.444
Li: 0.000 0.000 0.000
Li: 0.432 0.186 0.752
Li: 0.500 0.500 0.000
Li: 0.684 0.314 0.248
Li: 0.316 0.686 0.752
Ge: 0.113 0.382 0.000
Hg: 0.278 0.500 0.444
Li: 0.932 0.314 0.752
Ge: 0.887 0.618 0.000
Ge: 0.613 0.118 0.000
Hg: 0.222 0.000 0.556

Computed properties:
calculated formation energy = -0.275 eV per atom
E_tot = -2.43 eV per atom
total moment = 0.00 μB per cell
crystal system = orthorhombic
SG = Cmce (64)


Below is a relaxed structure of KRb2TcSe4, with properties calculated at the GGA-PBE level.

Lattice parameters (Å, degrees): 7.424 7.424 7.424 108.23 110.10 110.10
Atoms (fractional coordinates):
Se: 0.014 0.193 0.517
Rb: 0.000 0.000 0.000
Tc: 0.000 0.500 0.500
Se: 0.324 0.821 0.807
K: 0.500 0.250 0.750
Se: 0.676 0.483 0.497
Se: 0.986 0.503 0.179
Rb: 0.500 0.750 0.250

Computed properties:
E_tot = -4.16 eV per atom
total moment = 2.01 μB per cell
ΔE_f (raw) = -5.972 eV per formula unit
crystal system = tetragonal
SG = I-4 (82)


Below is a relaxed structure of RbCa2Rh, with properties calculated at the GGA-PBE level.

Lattice parameters (Å, degrees): 8.448 8.448 8.371 59.70 59.70 90.00
Atoms (fractional coordinates):
Ca: 0.375 0.126 0.750
Ca: 0.876 0.625 0.250
Ca: 0.875 0.124 0.750
Rb: 0.500 0.500 0.000
Rh: 0.750 0.250 0.500
Ca: 0.874 0.125 0.250
Rh: 0.000 0.000 0.000
Rb: 0.250 0.750 0.500

Computed properties:
calculated formation energy = 0.133 eV per atom
E_tot = -2.95 eV per atom
total moment = 0.00 μB per cell
crystal system = tetragonal
energy above the lowest structure with this stoichiometry = 0.236 eV/atom
SG = I-42d (122)


Below is a relaxed structure of RuSNF2, with properties calculated at the GGA-PBE level.

Lattice parameters (Å, degrees): 4.235 4.235 3.745 90.00 90.00 90.00
Atoms (fractional coordinates):
S: 0.500 0.500 0.500
N: 0.000 0.000 0.500
Ru: 0.000 0.000 0.000
F: 0.000 0.500 0.000
F: 0.500 0.000 0.000

Computed properties:
E_tot = -4.97 eV per atom
total moment = 1.67 μB per cell
ΔE_f (raw) = 0.641 eV per formula unit
crystal system = tetragonal
energy above the lowest structure with this stoichiometry = 0.000 eV/atom
SG = P4/mmm (123)


Below is a relaxed structure of CoSeBr2, with properties calculated at the GGA-PBE level.

Lattice parameters (Å, degrees): 4.100 4.100 9.074 90.00 90.00 130.83
Atoms (fractional coordinates):
Se: 0.500 0.500 0.689
Br: 0.500 0.500 0.339
Br: 0.000 0.000 0.948
Co: 0.000 0.000 0.524

Computed properties:
E_tot = -3.36 eV per atom
total moment = 1.98 μB per cell
ΔE_f (raw) = 0.489 eV per formula unit
crystal system = orthorhombic
SG = Cmm2 (35)


Which formula does entry 3 have? Pm2Sn3Bi